Compound: NaMnCd2Au
Source: the Alexandria database
Functional: PBE
Structure: relaxed

For the formation energy from the elements, the calculation gives 47.0 kJ per mole of atoms.

The space group is P4/mmm (No. 123) and the conventional cell measures 5.289, 5.289 and 5.301 Å, with angles of 90.00, 90.00 and 90.00 degrees. The inequivalent atoms are Na at (0.000, 0.000, 0.000), Mn at (0.500, 0.500, 0.000), Cd at (0.000, 0.500, 0.500) and Au at (0.000, 0.000, 0.500).